First-principles (PBE) data for crystalline SrLaTl at its relaxed geometry, as listed in the Alexandria database.

The structure in CIF format:
```
data_SrLaTl
_chemical_formula_sum 'Sr1 La1 Tl1'
_cell_length_a 5.5659
_cell_length_b 5.5659
_cell_length_c 4.0561
_cell_angle_alpha 90.00
_cell_angle_beta 90.00
_cell_angle_gamma 120.00
_space_group_name_H-M_alt 'P 3 m 1'
_space_group_IT_number 156
loop_
_space_group_symop_operation_xyz
'x,y,z'
'-y,x-y,z'
'-x+y,-x,z'
'-y,-x,z'
'-x+y,y,z'
'x,x-y,z'
loop_
_atom_site_label
_atom_site_type_symbol
_atom_site_fract_x
_atom_site_fract_y
_atom_site_fract_z
Sr1 Sr 0.0000 0.0000 0.0000
La1 La 0.3333 0.6667 0.5558
Tl1 Tl 0.6667 0.3333 0.3584
```

Computed properties:
**N(E_F)**: 1.7 states/eV/cell
**Formation energy from the elements**: -47.9 kJ/mol of formula units

First-principles (PBE) data for crystalline Eu4Bi2Pt at its relaxed geometry, as listed in the Alexandria database.

The structure in CIF format:
```
data_Eu4Bi2Pt
_chemical_formula_sum 'Eu8 Bi4 Pt2'
_cell_length_a 5.460
_cell_length_b 5.460
_cell_length_c 17.283
_cell_angle_alpha 90.00
_cell_angle_beta 90.00
_cell_angle_gamma 90.00
_space_group_name_H-M_alt 'I 4/m m m'
_space_group_IT_number 139
_space_group_name_Hall '-I 4 2'
loop_
_atom_site_label
_atom_site_type_symbol
_atom_site_fract_x
_atom_site_fract_y
_atom_site_fract_z
Eu1 Eu 0.000 0.000 0.176
Eu2 Eu 0.000 0.500 0.000
Bi1 Bi 0.000 0.000 0.367
Pt1 Pt 0.000 0.000 0.000
```

Computed properties:
**N(E_F)**: 83.8 states/eV/cell
**Formation energy from the elements**: -518.4 kJ/mol of formula units

First-principles (PBE) data for crystalline BaPm2Ho at its relaxed geometry, as listed in the Alexandria database.

The structure in CIF format:
```
data_BaPm2Ho
_chemical_formula_sum 'Ba1 Pm2 Ho1'
_cell_length_a 3.748
_cell_length_b 3.748
_cell_length_c 10.846
_cell_angle_alpha 90.00
_cell_angle_beta 90.00
_cell_angle_gamma 90.00
_space_group_name_H-M_alt 'P 4/m m m'
_space_group_IT_number 123
_space_group_name_Hall '-P 4 2'
loop_
_atom_site_label
_atom_site_type_symbol
_atom_site_fract_x
_atom_site_fract_y
_atom_site_fract_z
Ba1 Ba 0.000 0.000 0.000
Pm1 Pm 0.500 0.500 0.283
Ho1 Ho 0.000 0.000 0.500
```

Computed properties:
**Excess energy over the best structure of this formula in the dataset**: 0.0 meV/atom
**N(E_F)**: 5.4 states/eV/cell
**Formation energy from the elements**: 47.6 kJ/mol of formula units

First-principles (PBE) data for crystalline Cs3Rb8As at its relaxed geometry, as listed in the Alexandria database.

The structure in CIF format:
```
data_Cs3Rb8As
_chemical_formula_sum 'Cs6 Rb16 As2'
_cell_length_a 15.2742
_cell_length_b 15.2742
_cell_length_c 10.0402
_cell_angle_alpha 90.00
_cell_angle_beta 90.00
_cell_angle_gamma 120.00
_space_group_name_H-M_alt 'P 63 m c'
_space_group_IT_number 186
_space_group_name_Hall 'P 6c -2c'
loop_
_atom_site_label
_atom_site_type_symbol
_atom_site_fract_x
_atom_site_fract_y
_atom_site_fract_z
Cs1 Cs 0.1542 0.3084 0.0000
Rb1 Rb 0.0000 0.0000 0.2482
Rb2 Rb 0.0705 0.5352 0.2415
Rb3 Rb 0.2314 0.4628 0.5310
Rb4 Rb 0.3333 0.6667 0.9656
As1 As 0.3333 0.6667 0.3088
```

Computed properties:
**N(E_F)**: 18.1 states/eV/cell
**Formation energy from the elements**: -68.8 kJ/mol of formula units

First-principles (PBE) data for crystalline CaCeMnN4 at its relaxed geometry, as listed in the Alexandria database.

The structure in CIF format:
```
data_CaCeMnN4
_chemical_formula_sum 'Ca2 Ce2 Mn2 N8'
_cell_length_a 5.727
_cell_length_b 5.348
_cell_length_c 6.803
_cell_angle_alpha 90.00
_cell_angle_beta 106.04
_cell_angle_gamma 90.00
_space_group_name_H-M_alt 'P 1 21/m 1'
_space_group_IT_number 11
loop_
_space_group_symop_operation_xyz
'x,y,z'
'-x,-y,-z'
'-x,y+1/2,-z'
'x,-y+1/2,z'
loop_
_atom_site_label
_atom_site_type_symbol
_atom_site_fract_x
_atom_site_fract_y
_atom_site_fract_z
Ca1 Ca 0.212 0.250 0.425
Ce1 Ce 0.268 0.250 0.943
Mn1 Mn 0.271 0.750 0.200
N1 N 0.069 0.750 0.347
N2 N 0.097 0.750 0.950
N3 N 0.465 0.000 0.233
```

Computed properties:
**N(E_F)**: 7.4 states/eV/cell
**Formation energy (no corrections)**: -0.785 eV/atom

First-principles (PBE) data for crystalline BaCu2Sb2Se6 at its relaxed geometry, as listed in the Alexandria database.

The structure in CIF format:
```
data_BaCu2Sb2Se6
_chemical_formula_sum 'Ba1 Cu2 Sb2 Se6'
_cell_length_a 6.184
_cell_length_b 7.463
_cell_length_c 8.774
_cell_angle_alpha 77.21
_cell_angle_beta 73.05
_cell_angle_gamma 69.73
_space_group_name_H-M_alt 'P -1'
_space_group_IT_number 2
loop_
_space_group_symop_operation_xyz
'x,y,z'
'-x,-y,-z'
loop_
_atom_site_label
_atom_site_type_symbol
_atom_site_fract_x
_atom_site_fract_y
_atom_site_fract_z
Ba1 Ba 0.000 0.000 0.000
Cu1 Cu 0.454 0.165 0.672
Sb1 Sb 0.126 0.220 0.449
Se1 Se 0.046 0.365 0.714
Se2 Se 0.266 0.835 0.589
Se3 Se 0.414 0.084 0.122
```

Computed properties:
**N(E_F)**: 0.1 states/eV/cell
**Formation energy (no corrections)**: -0.486 eV/atom